(1)
Below is crystalline KLi3Ag at its relaxed geometry, with properties calculated at the GGA-PBE level.

Calculated values
The value obtained for the density of states at the Fermi level is 3.25 states/eV per cell.

Unit cell a=5.2914 b=5.2914 c=5.2914 alpha=90.00 beta=90.00 gamma=90.00
With the nearest neighbours (Å) after each atom.
Space group Pm-3m (No. 221)
Asymmetric unit:
K 0.0000 0.0000 0.0000  6 Li 2.65
Li 0.0000 0.0000 0.5000  2 K 2.65
Ag 0.5000 0.5000 0.5000  12 Li 3.74


(2)
Below is crystalline KLi3Ag at its relaxed geometry, with properties calculated at the GGA-PBE level.

Calculated values
The value obtained for the density of states at the Fermi level is 2.31 states/eV per cell.

Unit cell a=5.2563 b=5.2563 c=5.2563 alpha=90.00 beta=90.00 gamma=90.00
With the nearest neighbours (Å) after each atom.
Space group Pm-3m (No. 221)
Asymmetric unit:
K 0.0000 0.0000 0.0000  12 Li 3.72
Li 0.0000 0.5000 0.5000  2 Ag 2.63
Ag 0.5000 0.5000 0.5000  6 Li 2.63


Short version: (1) is the least stable of them.


(1)
Below is crystalline KLiMnAg2 at its relaxed geometry, with properties calculated at the GGA-PBE level.

Calculated values
The value obtained for the density of states at the Fermi level is 2.30 states/eV per cell.

Unit cell a=5.8047 b=5.8047 c=5.9255 alpha=90.00 beta=90.00 gamma=90.00
With the nearest neighbours (Å) after each atom.
Space group P4/mmm (No. 123)
Asymmetric unit:
K 0.0000 0.0000 0.0000  4 Ag 2.90, 2 Mn 2.96
Li 0.5000 0.5000 0.5000  4 Mn 4.10, 8 Ag 4.15
Mn 0.0000 0.0000 0.5000  2 K 2.96
Ag 0.0000 0.5000 0.0000  2 K 2.90


(2)
Below is crystalline KLiMnAg2 at its relaxed geometry, with properties calculated at the GGA-PBE level.

Calculated values
The value obtained for the density of states at the Fermi level is 3.93 states/eV per cell.

Unit cell a=5.2003 b=5.2003 c=5.1319 alpha=90.00 beta=90.00 gamma=90.00
With the nearest neighbours (Å) after each atom.
Space group P4/mmm (No. 123)
Asymmetric unit:
K 0.0000 0.0000 0.0000  8 Ag 3.65, 4 Li 3.68
Li 0.5000 0.5000 0.0000  2 Mn 2.57
Mn 0.5000 0.5000 0.5000  2 Li 2.57, 4 Ag 2.60
Ag 0.0000 0.5000 0.5000  2 Mn 2.60


Short version: (1) is the least stable of them.


(1)
Below is crystalline KNa2LiAg at its relaxed geometry, with properties calculated at the GGA-PBE level.

Calculated values
The value obtained for the density of states at the Fermi level is 1.97 states/eV per cell.

Unit cell a=5.8336 b=5.8336 c=5.3268 alpha=90.00 beta=90.00 gamma=90.00
With the nearest neighbours (Å) after each atom.
Space group P4/mmm (No. 123)
Asymmetric unit:
K 0.0000 0.0000 0.0000  8 Na 3.95, 4 Li 4.13
Na 0.0000 0.5000 0.5000  2 Ag 2.92
Li 0.5000 0.5000 0.0000  2 Ag 2.66
Ag 0.5000 0.5000 0.5000  2 Li 2.66, 4 Na 2.92


(2)
Below is crystalline KNa2LiAg at its relaxed geometry, with properties calculated at the GGA-PBE level.

Calculated values
The value obtained for the density of states at the Fermi level is 1.70 states/eV per cell.

Unit cell a=5.7492 b=5.7492 c=5.1208 alpha=90.00 beta=90.00 gamma=90.00
With the nearest neighbours (Å) after each atom.
Space group P4/mmm (No. 123)
Asymmetric unit:
K 0.0000 0.0000 0.0000  8 Na 3.85, 4 Ag 4.07
Na 0.0000 0.5000 0.5000  2 Li 2.87
Li 0.5000 0.5000 0.5000  2 Ag 2.56
Ag 0.5000 0.5000 0.0000  2 Li 2.56


Short version: (2) is the least stable of them.


(1)
Below is crystalline KLiTl2Ag at its relaxed geometry, with properties calculated at the GGA-PBE level.

Calculated values
The value obtained for the density of states at the Fermi level is 2.40 states/eV per cell.

Unit cell a=5.6116 b=5.6116 c=5.2181 alpha=90.00 beta=90.00 gamma=90.00
With the nearest neighbours (Å) after each atom.
Space group P4/mmm (No. 123)
Asymmetric unit:
K 0.0000 0.0000 0.0000  8 Tl 3.83, 4 Li 3.97
Li 0.5000 0.5000 0.0000  2 Ag 2.61
Tl 0.0000 0.5000 0.5000  2 Ag 2.81
Ag 0.5000 0.5000 0.5000  2 Li 2.61, 4 Tl 2.81


(2)
Below is crystalline KLiTl2Ag at its relaxed geometry, with properties calculated at the GGA-PBE level.

Calculated values
The value obtained for the density of states at the Fermi level is 2.54 states/eV per cell.

Unit cell a=5.2949 b=5.2949 c=5.1051 alpha=90.00 beta=90.00 gamma=90.00
With the nearest neighbours (Å) after each atom.
Space group P4/mmm (No. 123)
Asymmetric unit:
K 0.0000 0.0000 0.0000  8 Tl 3.68, 4 Ag 3.74
Li 0.5000 0.5000 0.5000  2 Ag 2.55, 4 Tl 2.65
Tl 0.0000 0.5000 0.5000  2 Li 2.65
Ag 0.5000 0.5000 0.0000  2 Li 2.55


Short version: (2) is the least stable of them.


(1)
Below is crystalline KMg3Ag at its relaxed geometry, with properties calculated at the GGA-PBE level.

Calculated values
The value obtained for the density of states at the Fermi level is 1.51 states/eV per cell.

Unit cell a=6.4567 b=6.4567 c=6.4567 alpha=90.00 beta=90.00 gamma=90.00
With the nearest neighbours (Å) after each atom.
Space group Pm-3m (No. 221)
Asymmetric unit:
K 0.0000 0.0000 0.0000  6 Mg 3.23
Mg 0.0000 0.0000 0.5000  2 K 3.23
Ag 0.5000 0.5000 0.5000  12 Mg 4.57


(2)
Below is crystalline KMg3Ag at its relaxed geometry, with properties calculated at the GGA-PBE level.

Calculated values
The value obtained for the density of states at the Fermi level is 2.36 states/eV per cell.

Unit cell a=5.3211 b=5.3211 c=5.3211 alpha=90.00 beta=90.00 gamma=90.00
With the nearest neighbours (Å) after each atom.
Space group Pm-3m (No. 221)
Asymmetric unit:
K 0.0000 0.0000 0.0000  12 Mg 3.76
Mg 0.0000 0.5000 0.5000  2 Ag 2.66
Ag 0.5000 0.5000 0.5000  6 Mg 2.66


Short version: (1) is the least stable of them.


(1)
Below is crystalline KMg2Ag2 at its relaxed geometry, with properties calculated at the GGA-PBE level.

Calculated values
The value obtained for the density of states at the Fermi level is 3.60 states/eV per cell.

Unit cell a=8.7242 b=8.7242 c=3.0640 alpha=90.00 beta=90.00 gamma=90.00
With the nearest neighbours (Å) after each atom.
Space group P4/mbm (No. 127)
Asymmetric unit:
K 0.0000 0.0000 0.0000  2 K 3.06
Mg 0.1244 0.3756 0.0000  6 Ag 2.99-3.00, 3 Mg 3.06-3.07
Ag 0.1675 0.6675 0.5000  6 Mg 2.99-3.00, 2 Ag 3.06


(2)
Below is crystalline KMg2Ag2 at its relaxed geometry, with properties calculated at the GGA-PBE level.

Calculated values
The value obtained for the density of states at the Fermi level is 4.45 states/eV per cell.

Unit cell a=4.6093 b=4.6093 c=12.4493 alpha=90.00 beta=90.00 gamma=90.00
With the nearest neighbours (Å) after each atom.
Space group I4/mmm (No. 139)
Asymmetric unit:
K 0.0000 0.0000 0.0000  8 Ag 3.56, 8 Mg 3.87
Mg 0.0000 0.5000 0.2500  4 Ag 2.85
Ag 0.0000 0.0000 0.3850  4 Mg 2.85, 1 Ag 2.86


Short version: (2) is the least stable of them.


(1)
Below is crystalline KMgAg3 at its relaxed geometry, with properties calculated at the GGA-PBE level.

Calculated values
The value obtained for the density of states at the Fermi level is 3.19 states/eV per cell.

Unit cell a=5.5424 b=5.5424 c=5.5424 alpha=90.00 beta=90.00 gamma=90.00
With the nearest neighbours (Å) after each atom.
Space group Pm-3m (No. 221)
Asymmetric unit:
K 0.0000 0.0000 0.0000  6 Ag 2.77
Mg 0.5000 0.5000 0.5000  12 Ag 3.92
Ag 0.0000 0.0000 0.5000  2 K 2.77


(2)
Below is crystalline KMgAg3 at its relaxed geometry, with properties calculated at the GGA-PBE level.

Calculated values
The value obtained for the density of states at the Fermi level is 1.04 states/eV per cell.

Unit cell a=5.2563 b=5.2563 c=5.2563 alpha=90.00 beta=90.00 gamma=90.00
With the nearest neighbours (Å) after each atom.
Space group Pm-3m (No. 221)
Asymmetric unit:
K 0.0000 0.0000 0.0000  12 Ag 3.72
Mg 0.5000 0.5000 0.5000  6 Ag 2.63
Ag 0.0000 0.5000 0.5000  2 Mg 2.63


Short version: (1) is the least stable of them.


(1)
Below is crystalline K2Mg2Ag at its relaxed geometry, with properties calculated at the GGA-PBE level.

Calculated values
The value obtained for the density of states at the Fermi level is 5.11 states/eV per cell.

Unit cell a=7.4368 b=7.4368 c=6.2627 alpha=90.00 beta=90.00 gamma=90.00
With the nearest neighbours (Å) after each atom.
Space group P4/mbm (No. 127)
Asymmetric unit:
K 0.1816 0.3184 0.0000  6 Mg 3.59-4.00, 5 K 3.82-3.86
Mg 0.1512 0.6512 0.5000  2 Ag 2.83
Ag 0.0000 0.0000 0.5000  4 Mg 2.83


(2)
Below is crystalline K2Mg2Ag at its relaxed geometry, with properties calculated at the GGA-PBE level.

Calculated values
The value obtained for the density of states at the Fermi level is 5.90 states/eV per cell.

Unit cell a=4.2078 b=4.2078 c=21.5501 alpha=90.00 beta=90.00 gamma=90.00
With the nearest neighbours (Å) after each atom.
Space group I4/mmm (No. 139)
Asymmetric unit:
K 0.0000 0.0000 0.0939  4 Ag 3.60, 4 Mg 3.97
Mg 0.0000 0.5000 0.2500  4 Mg 2.98
Ag 0.0000 0.0000 0.5000  8 K 3.60


Short version: (2) is the least stable of them.


(1)
Below is crystalline KMgAgO2 at its relaxed geometry, with properties calculated at the GGA-PBE level.

Unit cell a=5.6176 b=12.1114 c=5.4577 alpha=90.00 beta=90.00 gamma=90.00
With the nearest neighbours (Å) after each atom.
Space group Cmme (No. 67)
Asymmetric unit:
K 0.0000 0.2500 0.1988  2 O 2.77
Mg 0.2500 0.0000 0.0000  4 O 2.01
Ag 0.0000 0.0000 0.5000  2 O 2.12
O 0.0000 0.0918 0.8315  2 Mg 2.01, 1 Ag 2.12


(2)
Below is crystalline KMgAgO2 at its relaxed geometry, with properties calculated at the GGA-PBE level.

Calculated values
The value obtained for the density of states at the Fermi level is 1.68 states/eV per cell.

Unit cell a=4.1143 b=4.1143 c=4.9717 alpha=90.00 beta=90.00 gamma=90.00
With the nearest neighbours (Å) after each atom.
Space group P4/mmm (No. 123)
Asymmetric unit:
K 0.0000 0.0000 0.0000  2 Mg 2.49
Mg 0.0000 0.0000 0.5000  4 O 2.06
Ag 0.5000 0.5000 0.0000  4 K 2.91, 8 O 3.23
O 0.0000 0.5000 0.5000  2 Mg 2.06


Short version: (2) is the least stable of them.


(1)
Below is crystalline KMn3Ag at its relaxed geometry, with properties calculated at the GGA-PBE level.

Calculated values
The value obtained for the density of states at the Fermi level is 3.74 states/eV per cell.

Unit cell a=4.8022 b=4.8022 c=4.8022 alpha=90.00 beta=90.00 gamma=90.00
With the nearest neighbours (Å) after each atom.
Space group Pm-3m (No. 221)
Asymmetric unit:
K 0.0000 0.0000 0.0000  6 Mn 2.40
Mn 0.0000 0.0000 0.5000  2 K 2.40
Ag 0.5000 0.5000 0.5000  12 Mn 3.40


(2)
Below is crystalline KMn3Ag at its relaxed geometry, with properties calculated at the GGA-PBE level.

Calculated values
The value obtained for the density of states at the Fermi level is 4.04 states/eV per cell.

Unit cell a=5.1533 b=5.1533 c=5.1533 alpha=90.00 beta=90.00 gamma=90.00
With the nearest neighbours (Å) after each atom.
Space group Pm-3m (No. 221)
Asymmetric unit:
K 0.0000 0.0000 0.0000  12 Mn 3.64
Mn 0.0000 0.5000 0.5000  2 Ag 2.58
Ag 0.5000 0.5000 0.5000  6 Mn 2.58


Short version: (1) is the least stable of them.


(1)
Below is crystalline KMnAg2 at its relaxed geometry, with properties calculated at the GGA-PBE level.

Calculated values
The value obtained for the density of states at the Fermi level is 2.15 states/eV per cell.

Unit cell a=3.4648 b=3.4648 c=8.1687 alpha=90.00 beta=90.00 gamma=90.00
With the nearest neighbours (Å) after each atom.
Space group P4mm (No. 99)
Asymmetric unit:
K 0.0000 0.0000 0.0000  4 K 3.46, 4 Ag 3.52, 4 Mn 3.75
Mn 0.5000 0.5000 0.3478  5 Ag 2.75-2.80
Ag 0.0000 0.0000 0.4996  4 Mn 2.75, 4 Ag 2.90
Ag 0.5000 0.5000 0.6900  1 Mn 2.80, 4 Ag 2.90


(2)
Below is crystalline KMnAg2 at its relaxed geometry, with properties calculated at the GGA-PBE level.

Calculated values
The value obtained for the density of states at the Fermi level is 11.75 states/eV per cell.

Unit cell a=5.4043 b=5.4043 c=18.2861 alpha=90.00 beta=90.00 gamma=90.00
With the nearest neighbours (Å) after each atom.
Space group I4_1/amd (No. 141, origin choice 2)
Asymmetric unit:
K 0.0000 0.2500 0.3750  8 Ag 3.79, 4 Mn 3.82
Mn 0.0000 0.2500 0.8750  4 Ag 2.66
Ag 0.0000 0.0000 0.0000  2 Mn 2.66, 2 Ag 2.70


(3)
Below is crystalline KMnAg2 at its relaxed geometry, with properties calculated at the GGA-PBE level.

Calculated values
The value obtained for the density of states at the Fermi level is 2.34 states/eV per cell.

Unit cell a=2.9861 b=4.2081 c=7.6634 alpha=90.00 beta=90.00 gamma=90.00
With the nearest neighbours (Å) after each atom.
Space group Pmm2 (No. 25)
Asymmetric unit:
K 0.0000 0.0000 0.0000  2 K 2.99
Mn 0.5000 0.5000 0.3431  5 Ag 2.68-2.81, 2 Mn 2.99
Ag 0.0000 0.0000 0.4892  4 Mn 2.81, 6 Ag 2.99-3.02
Ag 0.5000 0.5000 0.6929  1 Mn 2.68, 2 Ag 2.99


Short version: (2) is the least stable of them.


(1)
Below is crystalline K2MnAg at its relaxed geometry, with properties calculated at the GGA-PBE level.

Calculated values
The value obtained for the density of states at the Fermi level is 7.19 states/eV per cell.

Unit cell a=5.0397 b=5.0397 c=10.3886 alpha=90.00 beta=90.00 gamma=90.00
With the nearest neighbours (Å) after each atom.
Space group I4/mmm (No. 139)
Asymmetric unit:
K 0.0000 0.5000 0.2500  4 K 3.56, 4 Mn 3.62, 4 Ag 3.62
Mn 0.0000 0.0000 0.0000  4 Ag 3.56, 8 K 3.62
Ag 0.0000 0.0000 0.5000  4 Mn 3.56, 8 K 3.62


(2)
Below is crystalline K2MnAg at its relaxed geometry, with properties calculated at the GGA-PBE level.

Calculated values
The value obtained for the density of states at the Fermi level is 3.37 states/eV per cell.

Unit cell a=3.9493 b=3.9493 c=9.0668 alpha=90.00 beta=90.00 gamma=90.00
With the nearest neighbours (Å) after each atom.
Space group P4/mmm (No. 123)
Asymmetric unit:
K 0.0000 0.0000 0.2281  4 Ag 3.47, 4 Mn 3.73
Mn 0.5000 0.5000 0.5000  8 K 3.73, 4 Mn 3.95
Ag 0.5000 0.5000 0.0000  8 K 3.47


(3)
Below is crystalline K2MnAg at its relaxed geometry, with properties calculated at the GGA-PBE level.

Calculated values
The value obtained for the density of states at the Fermi level is 22.87 states/eV per cell.

Unit cell a=8.2896 b=8.2896 c=8.2896 alpha=90.00 beta=90.00 gamma=90.00
With the nearest neighbours (Å) after each atom.
Space group Fm-3m (No. 225)
Asymmetric unit:
K 0.2500 0.2500 0.2500  4 Mn 3.59, 4 Ag 3.59
Mn 0.0000 0.0000 0.0000  8 K 3.59
Ag 0.0000 0.0000 0.5000  8 K 3.59


(4)
Below is crystalline K2MnAg at its relaxed geometry, with properties calculated at the GGA-PBE level.

Calculated values
The value obtained for the density of states at the Fermi level is 5.16 states/eV per cell.

Unit cell a=3.9219 b=5.9617 c=12.2084 alpha=90.00 beta=90.00 gamma=90.00
With the nearest neighbours (Å) after each atom.
Space group Imm2 (No. 44)
Asymmetric unit:
K 0.0000 0.0000 0.0000  4 Ag 3.64, 4 K 3.84-3.92, 4 Mn 3.92-4.07
K 0.0000 0.5000 0.1983  2 Ag 3.71, 4 Mn 3.75, 4 K 3.84-3.92
Mn 0.0000 0.5000 0.7918  2 Ag 2.67
Ag 0.0000 0.0000 0.4404  2 Mn 2.67


Short version: (3) is the least stable of them.